# 1
Below is Dy2Mn16Re after structural relaxation, with properties calculated at the PBE level.

The structure in CIF format:
```
data_Dy2Mn16Re
_cell_length_a 8.6705
_cell_length_b 8.6705
_cell_length_c 11.7401
_cell_angle_alpha 90.00
_cell_angle_beta 90.00
_cell_angle_gamma 120.00
_space_group_name_H-M_alt 'R 3 m'
_space_group_IT_number 160
_space_group_name_Hall 'R 3 -2"'
loop_
_atom_site_label
_atom_site_type_symbol
_atom_site_fract_x
_atom_site_fract_y
_atom_site_fract_z
_atom_site_occupancy
Dy1 Dy 0.0000 0.0000 0.0000 1
Dy2 Dy 0.0000 0.0000 0.2887 1
Mn1 Mn 0.0000 0.0000 0.5395 1
Mn2 Mn 0.0105 0.5053 0.5078 1
Mn3 Mn 0.0562 0.3887 0.3084 1
Mn4 Mn 0.1673 0.3345 0.4771 1
Mn5 Mn 0.1737 0.3474 0.1143 1
Re1 Re 0.0000 0.0000 0.7428 1
```

Mass density (g/cm³): 9.1
Formation energy (eV per formula unit): -0.03
Final energy (eV per formula unit): -168.399

# 2
Below is Dy2MnRe3 after structural relaxation, with properties calculated at the PBE level.

The structure in CIF format:
```
data_Dy2MnRe3
_cell_length_a 5.3021
_cell_length_b 5.3021
_cell_length_c 13.6559
_cell_angle_alpha 90.00
_cell_angle_beta 90.00
_cell_angle_gamma 120.00
_space_group_name_H-M_alt 'R -3 m'
_space_group_IT_number 166
_space_group_name_Hall '-R 3 2"'
loop_
_atom_site_label
_atom_site_type_symbol
_atom_site_fract_x
_atom_site_fract_y
_atom_site_fract_z
_atom_site_occupancy
Dy1 Dy 0.0000 0.0000 0.1239 1
Mn1 Mn 0.0000 0.0000 0.5000 1
Re1 Re 0.0000 0.5000 0.0000 1
```

Mass density (g/cm³): 14.1
Formation energy (eV per formula unit): -0.96
Final energy (eV per formula unit): -56.676

# 3
Below is DyMnRe after structural relaxation, with properties calculated at the PBE level.

The structure in CIF format:
```
data_DyMnRe
_cell_length_a 5.186
_cell_length_b 8.632
_cell_length_c 9.070
_cell_angle_alpha 90.00
_cell_angle_beta 90.00
_cell_angle_gamma 90.00
_space_group_name_H-M_alt 'F m m m'
_space_group_IT_number 69
_space_group_name_Hall '-F 2 2'
loop_
_atom_site_label
_atom_site_type_symbol
_atom_site_fract_x
_atom_site_fract_y
_atom_site_fract_z
_atom_site_occupancy
Dy1 Dy 0.000 0.163 0.000 1
Mn1 Mn 0.250 0.250 0.250 1
Re1 Re 0.000 0.000 0.346 1
```

Mass density (g/cm³): 13.2
Formation energy (eV per formula unit): 0.73
Final energy (eV per formula unit): -25.488

# 4
Below is DyMnRh2 after structural relaxation, with properties calculated at the PBE level.

The structure in CIF format:
```
data_DyMnRh2
_cell_length_a 6.485
_cell_length_b 6.485
_cell_length_c 6.485
_cell_angle_alpha 90.00
_cell_angle_beta 90.00
_cell_angle_gamma 90.00
_space_group_name_H-M_alt 'F m -3 m'
_space_group_IT_number 225
_space_group_name_Hall '-F 4 2 3'
loop_
_atom_site_label
_atom_site_type_symbol
_atom_site_fract_x
_atom_site_fract_y
_atom_site_fract_z
_atom_site_occupancy
Dy1 Dy 0.000 0.000 0.000 1
Mn1 Mn 0.000 0.000 0.500 1
Rh1 Rh 0.250 0.250 0.250 1
```

Mass density (g/cm³): 10.3
Formation energy (eV per formula unit): -2.02
Final energy (eV per formula unit): -30.490

# 5
Below is DyMnSi2Rh after structural relaxation, with properties calculated at the PBE level.

The structure in CIF format:
```
data_DyMnSi2Rh
_cell_length_a 3.992
_cell_length_b 3.992
_cell_length_c 10.188
_cell_angle_alpha 90.00
_cell_angle_beta 90.00
_cell_angle_gamma 90.00
_space_group_name_H-M_alt 'I -4 m 2'
_space_group_IT_number 119
_space_group_name_Hall 'I -4 -2'
loop_
_atom_site_label
_atom_site_type_symbol
_atom_site_fract_x
_atom_site_fract_y
_atom_site_fract_z
_atom_site_occupancy
Dy1 Dy 0.000 0.000 0.000 1
Mn1 Mn 0.000 0.500 0.250 1
Si1 Si 0.000 0.000 0.382 1
Rh1 Rh 0.000 0.500 0.750 1
```

Mass density (g/cm³): 7.7
Formation energy from raw total energies (eV/atom): -0.8439
Final energy (eV per formula unit): -36.189

# 6
Below is Dy2Mn2SnRh5 after structural relaxation, with properties calculated at the PBE level.

The structure in CIF format:
```
data_Dy2Mn2SnRh5
_cell_length_a 9.617
_cell_length_b 9.617
_cell_length_c 3.739
_cell_angle_alpha 90.00
_cell_angle_beta 90.00
_cell_angle_gamma 90.00
_space_group_name_H-M_alt 'P 4/m b m'
_space_group_IT_number 127
_space_group_name_Hall '-P 4 2ab'
loop_
_atom_site_label
_atom_site_type_symbol
_atom_site_fract_x
_atom_site_fract_y
_atom_site_fract_z
_atom_site_occupancy
Dy1 Dy 0.178 0.322 0.000 1
Mn1 Mn 0.120 0.620 0.000 1
Sn1 Sn 0.000 0.000 0.000 1
Rh1 Rh 0.000 0.500 0.500 1
Rh2 Rh 0.067 0.790 0.500 1
```

Mass density (g/cm³): 10.3
Formation energy (eV per formula unit): -5.02
Final energy (eV per formula unit): -73.327

# 7
Below is TbDyMnRh after structural relaxation, with properties calculated at the PBE level.

The structure in CIF format:
```
data_TbDyMnRh
_cell_length_a 6.959
_cell_length_b 6.959
_cell_length_c 6.959
_cell_angle_alpha 90.00
_cell_angle_beta 90.00
_cell_angle_gamma 90.00
_space_group_name_H-M_alt 'F -4 3 m'
_space_group_IT_number 216
_space_group_name_Hall 'F -4 2 3'
loop_
_atom_site_label
_atom_site_type_symbol
_atom_site_fract_x
_atom_site_fract_y
_atom_site_fract_z
_atom_site_occupancy
Tb1 Tb 0.000 0.000 0.000 1
Dy1 Dy 0.000 0.000 0.500 1
Mn1 Mn 0.250 0.250 0.250 1
Rh1 Rh 0.250 0.250 0.750 1
```

Mass density (g/cm³): 9.4
Formation energy (eV per formula unit): -1.04
Final energy (eV per formula unit): -26.794

# 8
Below is DyYMnRh after structural relaxation, with properties calculated at the PBE level.

The structure in CIF format:
```
data_DyYMnRh
_cell_length_a 6.965
_cell_length_b 6.965
_cell_length_c 6.965
_cell_angle_alpha 90.00
_cell_angle_beta 90.00
_cell_angle_gamma 90.00
_space_group_name_H-M_alt 'F -4 3 m'
_space_group_IT_number 216
_space_group_name_Hall 'F -4 2 3'
loop_
_atom_site_label
_atom_site_type_symbol
_atom_site_fract_x
_atom_site_fract_y
_atom_site_fract_z
_atom_site_occupancy
Dy1 Dy 0.000 0.000 0.000 1
Y1 Y 0.000 0.000 0.500 1
Mn1 Mn 0.250 0.250 0.250 1
Rh1 Rh 0.250 0.250 0.750 1
```

Mass density (g/cm³): 8.0
Formation energy (eV per formula unit): -1.05
Final energy (eV per formula unit): -28.632

# 9
Below is Dy2MnZn2Rh5 after structural relaxation, with properties calculated at the PBE level.

The structure in CIF format:
```
data_Dy2MnZn2Rh5
_cell_length_a 9.610
_cell_length_b 9.610
_cell_length_c 3.616
_cell_angle_alpha 90.00
_cell_angle_beta 90.00
_cell_angle_gamma 90.00
_space_group_name_H-M_alt 'P 4/m b m'
_space_group_IT_number 127
_space_group_name_Hall '-P 4 2ab'
loop_
_atom_site_label
_atom_site_type_symbol
_atom_site_fract_x
_atom_site_fract_y
_atom_site_fract_z
_atom_site_occupancy
Dy1 Dy 0.174 0.326 0.000 1
Mn1 Mn 0.000 0.000 0.000 1
Zn1 Zn 0.125 0.625 0.000 1
Rh1 Rh 0.000 0.500 0.500 1
Rh2 Rh 0.067 0.800 0.500 1
```

Mass density (g/cm³): 10.2
Formation energy (eV per formula unit): -4.98
Final energy (eV per formula unit): -62.657

# 10
Below is DyMnRu after structural relaxation, with properties calculated at the PBE level.

The structure in CIF format:
```
data_DyMnRu
_cell_length_a 3.317
_cell_length_b 3.317
_cell_length_c 10.241
_cell_angle_alpha 90.00
_cell_angle_beta 90.00
_cell_angle_gamma 90.00
_space_group_name_H-M_alt 'I 4 m m'
_space_group_IT_number 107
_space_group_name_Hall 'I 4 -2'
loop_
_atom_site_label
_atom_site_type_symbol
_atom_site_fract_x
_atom_site_fract_y
_atom_site_fract_z
_atom_site_occupancy
Dy1 Dy 0.000 0.000 0.000 1
Mn1 Mn 0.000 0.000 0.709 1
Ru1 Ru 0.000 0.000 0.318 1
```

Mass density (g/cm³): 9.4
Energy above the most stable polymorph in this dataset (meV/atom): 229
Formation energy (eV per formula unit): 0.09
Final energy (eV per formula unit): -22.959

# 11
Below is DyMnRu after structural relaxation, with properties calculated at the PBE level.

The structure in CIF format:
```
data_DyMnRu
_cell_length_a 5.307
_cell_length_b 5.329
_cell_length_c 7.432
_cell_angle_alpha 90.00
_cell_angle_beta 90.00
_cell_angle_gamma 90.00
_space_group_name_H-M_alt 'I m m a'
_space_group_IT_number 74
_space_group_name_Hall '-I 2b 2'
loop_
_atom_site_label
_atom_site_type_symbol
_atom_site_fract_x
_atom_site_fract_y
_atom_site_fract_z
_atom_site_occupancy
Dy1 Dy 0.000 0.250 0.127 1
Mn1 Mn 0.250 0.250 0.750 1
Ru1 Ru 0.000 0.000 0.500 1
```

Mass density (g/cm³): 10.1
Energy above the most stable polymorph in this dataset (meV/atom): 0
Formation energy (eV per formula unit): -0.60
Final energy (eV per formula unit): -23.645

# 12
Below is Dy2MnRu3 after structural relaxation, with properties calculated at the PBE level.

The structure in CIF format:
```
data_Dy2MnRu3
_cell_length_a 5.3777
_cell_length_b 5.3777
_cell_length_c 8.4824
_cell_angle_alpha 90.00
_cell_angle_beta 90.00
_cell_angle_gamma 120.00
_space_group_name_H-M_alt 'P 63/m m c'
_space_group_IT_number 194
_space_group_name_Hall '-P 6c 2c'
loop_
_atom_site_label
_atom_site_type_symbol
_atom_site_fract_x
_atom_site_fract_y
_atom_site_fract_z
_atom_site_occupancy
Dy1 Dy 0.3333 0.6667 0.0665 1
Mn1 Mn 0.0000 0.0000 0.0000 1
Ru1 Ru 0.1700 0.3399 0.7500 1
```

Mass density (g/cm³): 10.7
Formation energy (eV per formula unit): -1.69
Final energy (eV per formula unit): -47.890

Question: Which of these has the lowest final energy?
Answer: Dy2Mn16Re

Question: Number 12 is which compound?
Answer: Dy2MnRu3